Computed, not measured: an optimized crystal structure of BaCa3Pt at the PBE-GGA level of DFT.

Summary:
Magnetic moment in μB per atom: 0.000
Total DFT energy (no corrections) in eV per formula unit: -14.80
Formation enthalpy at 0 K in eV/atom: -0.166

Structure (POSCAR):
```
BaCa3Pt
1.0
4.559 0.000 0.000
0.000 4.559 0.000
0.000 0.000 10.439
Ca Ba Pt
3 1 1
Direct
0.000 0.000 0.805
0.500 0.000 0.075
0.000 0.500 0.075
0.000 0.000 0.408
0.500 0.500 0.901
```

=====

Computed, not measured: an optimized crystal structure of Ag2GeBi at the PBE-GGA level of DFT.

Summary:
Magnetic moment in μB per atom: 0.000
Total DFT energy (no corrections) in eV per formula unit: -13.42
Formation enthalpy at 0 K in eV/atom: 0.195

Structure (POSCAR):
```
Ag2GeBi
1.0
-0.028 1.820 4.245
2.138 -2.184 3.463
4.795 2.288 1.564
Ge Bi Ag
1 1 2
Direct
0.000 0.000 0.000
0.500 0.500 0.500
0.276 0.276 0.172
0.724 0.724 0.828
```